Entry from Alexandria: a relaxed TcTe2PdI crystal (PBE-GGA).

abc: 5.319 5.319 5.400
angles: 90.00 90.00 90.00
Fractional positions:
Tc 0.000 0.000 0.000
Te 0.000 0.500 0.500
Te 0.500 0.000 0.500
Pd 0.500 0.500 0.500
I 0.500 0.500 0.000

Computed properties:
- relative energy among the computed polymorphs (eV per formula unit) = 1.08
- final energy (eV/atom) = -3.7437
- formation energy without anion corrections (eV per atom) = 0.93